CePr12Ho3 after structural relaxation. Source: Alexandria via LeMat-Bulk, functional GGA-PBE.

a = 5.1909 Å, b = 5.1909 Å, c = 20.7268 Å
α = 90.00°, β = 90.00°, γ = 90.00°
Each line ends with the local moment (μB).
Atoms (fractional coordinates):
Ce 0.0000 0.0000 0.0000  0.81
Pr 0.5000 0.5000 0.0000  0.02
Pr 0.5000 0.5000 0.2517  0.00
Pr 0.5000 0.5000 0.5000  0.00
Pr 0.5000 0.5000 0.7483  0.00
Pr 0.5000 0.0000 0.1245  0.01
Pr 0.5000 0.0000 0.3751  0.00
Pr 0.5000 0.0000 0.6249  0.00
Pr 0.5000 0.0000 0.8755  0.01
Pr 0.0000 0.5000 0.1245  0.01
Pr 0.0000 0.5000 0.3751  0.00
Pr 0.0000 0.5000 0.6249  0.00
Pr 0.0000 0.5000 0.8755  0.01
Ho 0.0000 0.0000 0.2504  -0.01
Ho 0.0000 0.0000 0.5000  0.00
Ho 0.0000 0.0000 0.7496  -0.01

Properties
**Space group**: P4/mmm, No. 123
**Energy of formation**: 0.0312 eV/atom
**Uncorrected energy**: -4.78 eV per atom